(1)
A geometry-optimized RbTi2Pd structure, computed with PBE.

```
RbTi2Pd
1.0
-2.5770 2.5770 9.0148
2.5770 -2.5770 9.0148
2.5770 2.5770 -9.0148
Rb Ti Pd
2 4 2
Direct
0.3750 0.6250 0.7500
0.6250 0.3750 0.2500
0.0000 0.0000 0.0000
0.0000 0.0000 0.5000
0.0000 0.5000 0.0000
0.5000 0.0000 0.5000
0.1250 0.8750 0.2500
0.8750 0.1250 0.7500
```

Symmetry = No. 141
Calculated formation energy = 0.925 eV per atom
Energy above the most stable polymorph in this dataset = 0.039 eV/atom
Uncorrected energy = -4.562 eV per atom

=====

(2)
A geometry-optimized Li3MgAu2 structure, computed with PBE.

```
Li3MgAu2
1.0
7.2972 -1.9935 0.0000
7.2972 1.9935 0.0000
-4.3783 0.0000 6.8295
Li Mg Au
6 2 4
Direct
0.0839 0.0839 0.4510
0.2530 0.2530 0.3853
0.4075 0.4075 0.2795
0.5925 0.5925 0.7205
0.7470 0.7470 0.6147
0.9161 0.9161 0.5490
0.0953 0.0953 0.9754
0.9047 0.9047 0.0246
0.2366 0.2366 0.8395
0.4196 0.4196 0.7763
0.5804 0.5804 0.2237
0.7634 0.7634 0.1605
```

Symmetry = No. 12
Calculated formation energy = -0.458 eV per atom
Energy above the most stable polymorph in this dataset = 0.000 eV/atom
Uncorrected energy = -2.773 eV per atom

=====

(3)
A geometry-optimized Y4TlHgS structure, computed with PBE.

```
Y4TlHgS
1.0
3.6483 -7.5617 0.0000
3.6483 7.5617 0.0000
0.0000 0.0000 7.2945
Y Tl Hg S
8 2 2 2
Direct
0.0000 0.5000 0.0000
0.0000 0.5000 0.5000
0.0664 0.9336 0.7500
0.4254 0.5746 0.7500
0.5000 0.0000 0.0000
0.5000 0.0000 0.5000
0.5746 0.4254 0.2500
0.9336 0.0664 0.2500
0.3750 0.6250 0.2500
0.6250 0.3750 0.7500
0.1291 0.8709 0.2500
0.8709 0.1291 0.7500
0.2460 0.7540 0.7500
0.7540 0.2460 0.2500
```

Symmetry = No. 63
Formation energy without anion corrections = -707.6 meV per atom
Uncorrected energy = -5.372 eV per atom

=====

(4)
A geometry-optimized SrLiTa structure, computed with PBE.

```
SrLiTa
1.0
3.3803 0.0000 0.0000
-1.6869 6.0378 0.0000
-0.0410 -2.4634 7.7687
Sr Li Ta
2 2 2
Direct
0.0000 0.0000 0.0000
0.3177 0.6185 0.2665
0.0136 0.0212 0.6279
0.6095 0.2214 0.4422
0.2864 0.5737 0.6730
0.7115 0.4163 0.8553
```

Symmetry = No. 1
Calculated formation energy = 0.586 eV per atom
Energy above the most stable polymorph in this dataset = 0.213 eV/atom
Uncorrected energy = -4.564 eV per atom

=====

(5)
A geometry-optimized KMnIn3 structure, computed with PBE.

```
KMnIn3
1.0
5.1501 0.0000 0.0000
0.0000 5.1501 0.0000
0.0000 0.0000 5.1501
K Mn In
1 1 3
Direct
0.0000 0.0000 0.0000
0.5000 0.5000 0.5000
0.0000 0.5000 0.5000
0.5000 0.0000 0.5000
0.5000 0.5000 0.0000
```

Symmetry = No. 221
Calculated formation energy = 0.062 eV per atom
Energy above the most stable polymorph in this dataset = 0.000 eV/atom
Uncorrected energy = -3.635 eV per atom

=====

(6)
A geometry-optimized KSrBr2 structure, computed with PBE.

```
KSrBr2
1.0
4.4751 0.0000 0.0000
0.0000 4.4751 0.0000
0.0000 0.0000 8.5589
K Sr Br
1 1 2
Direct
0.0000 0.0000 0.0000
0.5000 0.5000 0.5186
0.0000 0.0000 0.5562
0.5000 0.5000 0.8734
```

Symmetry = No. 99
Formation energy without anion corrections = -1497.3 meV per atom
Energy above the most stable polymorph in this dataset = 0.050 eV/atom
Uncorrected energy = -3.029 eV per atom

=====

(7)
A geometry-optimized LuScInRh structure, computed with PBE.

```
LuScInRh
1.0
0.0000 3.4661 3.4661
3.4661 0.0000 3.4661
3.4661 3.4661 0.0000
Lu Sc In Rh
1 1 1 1
Direct
0.0000 0.0000 0.0000
0.5000 0.5000 0.5000
0.7500 0.7500 0.7500
0.2500 0.2500 0.2500
```

Symmetry = No. 216
Calculated formation energy = -0.601 eV per atom
Uncorrected energy = -5.837 eV per atom

=====

(8)
A geometry-optimized La3Y6Er2Tm structure, computed with PBE.

```
La3Y6Er2Tm
1.0
3.1192 -5.4034 0.0000
3.1192 5.4034 0.0000
-2.0803 0.0000 11.7101
La Y Er Tm
3 6 2 1
Direct
0.0000 0.0000 0.0000
0.3335 0.6665 0.0000
0.6665 0.3335 0.0000
0.0858 0.4191 0.2567
0.2475 0.2475 0.7434
0.4191 0.0858 0.2567
0.5809 0.9142 0.7433
0.7525 0.7525 0.2566
0.9142 0.5809 0.7433
0.1667 0.8333 0.5000
0.8333 0.1667 0.5000
0.5000 0.5000 0.5000
```

Symmetry = No. 12
Calculated formation energy = 0.025 eV per atom
Uncorrected energy = -5.572 eV per atom

=====

(9)
A geometry-optimized Hg3S2Br structure, computed with PBE.

```
Hg3S2Br
1.0
-2.2646 6.7060 3.0761
2.2646 -6.7060 3.0761
2.2646 6.7060 -3.0761
Hg S Br
3 2 1
Direct
0.0000 0.0000 0.0000
0.4137 0.1051 0.3085
0.7966 0.1051 0.6915
0.6380 0.8060 0.8319
0.9741 0.8060 0.1681
0.3053 0.8053 0.5000
```

Symmetry = No. 44
Formation energy without anion corrections = -119.7 meV per atom
Uncorrected energy = -1.925 eV per atom

=====

(10)
A geometry-optimized HfTiAl2Cl structure, computed with PBE.

```
HfTiAl2Cl
1.0
4.7015 0.0000 0.0000
0.0000 4.7015 0.0000
0.0000 0.0000 4.3972
Hf Ti Al Cl
1 1 2 1
Direct
0.0000 0.0000 0.0000
0.5000 0.5000 0.0000
0.0000 0.5000 0.5000
0.5000 0.0000 0.5000
0.5000 0.5000 0.5000
```

Symmetry = No. 123
Formation energy without anion corrections = 327.1 meV per atom
Uncorrected energy = -5.109 eV per atom

=====

(11)
A geometry-optimized La2Nd3Y6Sc structure, computed with PBE.

```
La2Nd3Y6Sc
1.0
3.1203 -5.4056 0.0000
3.1203 5.4056 0.0000
-2.0776 0.0000 11.7142
La Nd Y Sc
2 3 6 1
Direct
0.1659 0.8341 0.0000
0.8341 0.1659 0.0000
0.0000 0.0000 0.5000
0.3332 0.6668 0.5000
0.6668 0.3332 0.5000
0.0877 0.4176 0.7513
0.2525 0.2525 0.2493
0.4176 0.0877 0.7513
0.5824 0.9123 0.2487
0.7475 0.7475 0.7507
0.9123 0.5824 0.2487
0.5000 0.5000 0.0000
```

Symmetry = No. 12
Calculated formation energy = 0.023 eV per atom
Uncorrected energy = -5.750 eV per atom

=====

(12)
A geometry-optimized KTi2Sb2 structure, computed with PBE.

```
KTi2Sb2
1.0
-2.6586 2.6586 4.9034
2.6586 -2.6586 4.9034
2.6586 2.6586 -4.9034
K Ti Sb
1 2 2
Direct
0.0000 0.0000 0.0000
0.3490 0.3490 0.0000
0.6510 0.6510 0.0000
0.2500 0.7500 0.5000
0.7500 0.2500 0.5000
```

Symmetry = No. 139
Formation energy without anion corrections = 62.5 meV per atom
Energy above the most stable polymorph in this dataset = 0.408 eV/atom
Uncorrected energy = -4.964 eV per atom

=====

- Among the records above, which one has the highest uncorrected energy?
  Hg3S2Br

=====

- Which formula does entry 6 have?
  KSrBr2

=====

- What is the uncorrected energy in the sixth record?
  -3.029 eV per atom

=====

- Among the records above, which one has the lowest uncorrected energy?
  LuScInRh